# MnZn2Tc PBE relaxed
data_MnZn2Tc
_chemical_formula_sum 'Mn1 Zn2 Tc1'
_symmetry_space_group_name_H-M 'P 1'
_symmetry_Int_Tables_number 1
_cell_length_a 4.237
_cell_length_b 2.644
_cell_length_c 4.964
_cell_angle_alpha 83.41
_cell_angle_beta 90.00
_cell_angle_gamma 90.00
loop_
_symmetry_equiv_pos_as_xyz
'x,y,z'
loop_
_atom_site_label
_atom_site_type_symbol
_atom_site_fract_x
_atom_site_fract_y
_atom_site_fract_z
Mn1 Mn 0.000 0.524 0.501
Tc1 Tc 0.500 0.705 0.748
Zn1 Zn 0.000 0.108 0.994
Zn2 Zn 0.500 0.163 0.258
# * offset from the most stable computed form: 32.1 kJ/mol of formula units
# * symmetry: Pm (6)